Entry 1:
ReGePd2: PBEsol geometry, meta-GGA SCAN.

abc: 4.385 4.385 4.385
angles: 60.00 60.00 60.00
Site moments in Bohr magnetons follow the coordinates.
Fractional coordinates of all 4 atoms:
Re1 0.500 0.500 0.500  1.50
Ge1 0.000 0.000 0.000  0.01
Pd1 0.250 0.250 0.250  0.10
Pd2 0.750 0.750 0.750  0.10

Calculated values
Size of the total moment: 2.01 Bohr magnetons per cell
Formation energy: 149 kJ/mol of formula units


Entry 2:
Ge2PdRh2: PBEsol geometry, meta-GGA SCAN.

abc: 2.851 7.056 7.056
angles: 90.00 90.00 90.00
Fractional coordinates of all 10 atoms:
Ge1 0.000 0.345 0.845
Ge2 0.000 0.845 0.655
Ge3 0.000 0.655 0.155
Ge4 0.000 0.155 0.345
Rh1 0.500 0.142 0.642
Rh2 0.500 0.642 0.858
Rh3 0.500 0.858 0.358
Rh4 0.500 0.358 0.142
Pd1 0.000 0.000 0.000
Pd2 0.000 0.500 0.500

Calculated values
Size of the total moment: 0.00 Bohr magnetons per cell
Formation energy: -252 kJ/mol of formula units


Entry 3:
GePd3Ru: PBEsol geometry, meta-GGA SCAN.

abc: 4.684 4.684 4.684
angles: 90.00 90.00 90.00
Site moments in Bohr magnetons follow the coordinates.
Fractional coordinates of all 5 atoms:
Ru1 0.000 0.000 0.000  1.43
Ge1 0.500 0.500 0.500  0.01
Pd1 0.000 0.500 0.000  0.27
Pd2 0.000 0.000 0.500  0.27
Pd3 0.500 0.000 0.000  0.27

Calculated values
Size of the total moment: 2.24 Bohr magnetons per cell
Formation energy: 620 kJ/mol of formula units


Entry 4:
TaGePdRu2: PBEsol geometry, meta-GGA SCAN.

abc: 4.387 4.387 4.670
angles: 90.00 90.00 90.00
Site moments in Bohr magnetons follow the coordinates.
Fractional coordinates of all 5 atoms:
Ru1 0.000 0.500 0.000  0.59
Ru2 0.500 0.000 0.000  0.59
Ge1 0.000 0.000 0.000  0.00
Pd1 0.500 0.500 0.500  0.14
Ta1 0.000 0.000 0.500  -0.15

Calculated values
Size of the total moment: 1.03 Bohr magnetons per cell
Formation energy: 543 kJ/mol of formula units


Entry 5:
GePdS3: PBEsol geometry, meta-GGA SCAN.

abc: 4.619 4.619 4.619
angles: 90.00 90.00 90.00
Fractional coordinates of all 5 atoms:
Ge1 0.500 0.500 0.500
S1 0.000 0.500 0.000
S2 0.000 0.000 0.500
S3 0.500 0.000 0.000
Pd1 0.000 0.000 0.000

Calculated values
Size of the total moment: 0.00 Bohr magnetons per cell
Formation energy (no corrections): 475 meV/atom


Entry 6:
GePdS3: PBEsol geometry, meta-GGA SCAN.

abc: 3.459 7.363 9.031
angles: 105.40 90.00 103.59
Fractional coordinates of all 10 atoms:
Ge1 0.086 0.171 0.803
Ge2 0.914 0.829 0.197
S1 0.630 0.260 0.963
S2 0.370 0.740 0.037
S3 0.176 0.353 0.635
S4 0.824 0.647 0.365
S5 0.924 0.847 0.710
S6 0.076 0.153 0.290
Pd1 0.387 0.774 0.534
Pd2 0.613 0.226 0.466

Calculated values
Size of the total moment: 0.00 Bohr magnetons per cell
Formation energy (no corrections): -423 meV/atom


Entry 7:
ScGePd2S: PBEsol geometry, meta-GGA SCAN.

abc: 4.512 4.512 4.933
angles: 90.00 90.00 90.00
Fractional coordinates of all 5 atoms:
Sc1 0.500 0.500 0.500
Ge1 0.000 0.000 0.000
S1 0.000 0.000 0.500
Pd1 0.000 0.500 0.000
Pd2 0.500 0.000 0.000

Calculated values
Size of the total moment: 0.00 Bohr magnetons per cell
Formation energy (no corrections): -118 meV/atom


Entry 8:
Sc2Ge2Pd: PBEsol geometry, meta-GGA SCAN.

abc: 4.106 6.509 6.509
angles: 90.00 90.00 90.00
Fractional coordinates of all 10 atoms:
Sc1 0.500 0.169 0.669
Sc2 0.500 0.669 0.831
Sc3 0.500 0.831 0.331
Sc4 0.500 0.331 0.169
Ge1 0.000 0.362 0.862
Ge2 0.000 0.862 0.638
Ge3 0.000 0.638 0.138
Ge4 0.000 0.138 0.362
Pd1 0.000 0.000 0.000
Pd2 0.000 0.500 0.500

Calculated values
Size of the total moment: 0.00 Bohr magnetons per cell
Formation energy: -473 kJ/mol of formula units


Entry 9:
ScGePd3: PBEsol geometry, meta-GGA SCAN.

abc: 4.689 4.689 4.689
angles: 90.00 90.00 90.00
Fractional coordinates of all 5 atoms:
Sc1 0.000 0.000 0.000
Ge1 0.500 0.500 0.500
Pd1 0.000 0.500 0.000
Pd2 0.000 0.000 0.500
Pd3 0.500 0.000 0.000

Calculated values
Size of the total moment: 0.00 Bohr magnetons per cell
Formation energy: 242 kJ/mol of formula units


Entry 10:
ScGePd3: PBEsol geometry, meta-GGA SCAN.

abc: 4.560 4.560 4.560
angles: 90.00 90.00 90.00
Fractional coordinates of all 5 atoms:
Sc1 0.500 0.500 0.500
Ge1 0.000 0.000 0.000
Pd1 0.000 0.500 0.000
Pd2 0.000 0.000 0.500
Pd3 0.500 0.000 0.000

Calculated values
Size of the total moment: 0.00 Bohr magnetons per cell
Formation energy: -128 kJ/mol of formula units


Entry 11:
ScGePd: PBEsol geometry, meta-GGA SCAN.

abc: 3.914 6.654 6.654
angles: 120.00 90.00 90.00
Fractional coordinates of all 9 atoms:
Sc1 0.000 0.424 0.424
Sc2 0.000 0.576 0.000
Sc3 0.000 0.000 0.576
Ge1 0.500 0.667 0.333
Ge2 0.000 0.000 0.000
Ge3 0.500 0.333 0.667
Pd1 0.500 0.000 0.248
Pd2 0.500 0.752 0.752
Pd3 0.500 0.248 0.000

Calculated values
Size of the total moment: 0.00 Bohr magnetons per cell
Formation energy: -307 kJ/mol of formula units


Entry 12:
YGePd2Se: PBEsol geometry, meta-GGA SCAN.

abc: 4.871 4.871 5.446
angles: 90.00 90.00 90.00
Fractional coordinates of all 5 atoms:
Y1 0.000 0.000 0.000
Ge1 0.000 0.000 0.500
Se1 0.500 0.500 0.500
Pd1 0.000 0.500 0.000
Pd2 0.500 0.000 0.000

Calculated values
Size of the total moment: 0.00 Bohr magnetons per cell
Formation energy (no corrections): 797 meV/atom


Entry 13:
Sm3Ge6Pd20: PBEsol geometry, meta-GGA SCAN.

abc: 8.733 8.733 8.733
angles: 60.00 60.00 60.00
Fractional coordinates of all 29 atoms:
Sm1 0.250 0.250 0.250
Sm2 0.750 0.750 0.750
Sm3 0.000 0.000 0.000
Ge1 0.732 0.268 0.268
Ge2 0.268 0.732 0.732
Ge3 0.732 0.268 0.732
Ge4 0.268 0.732 0.268
Ge5 0.732 0.732 0.268
Ge6 0.268 0.268 0.732
Pd1 0.853 0.382 0.382
Pd2 0.147 0.618 0.618
Pd3 0.382 0.853 0.382
Pd4 0.382 0.382 0.853
Pd5 0.618 0.147 0.618
Pd6 0.618 0.618 0.147
Pd7 0.382 0.382 0.382
Pd8 0.618 0.618 0.618
Pd9 0.652 0.000 0.000
Pd10 0.348 0.000 0.000
Pd11 0.000 0.652 0.348
Pd12 0.000 0.348 0.652
Pd13 0.652 0.000 0.348
Pd14 0.000 0.348 0.000
Pd15 0.348 0.000 0.652
Pd16 0.000 0.652 0.000
Pd17 0.652 0.348 0.000
Pd18 0.348 0.652 0.000
Pd19 0.000 0.000 0.348
Pd20 0.000 0.000 0.652

Calculated values
Size of the total moment: 0.00 Bohr magnetons per cell
Formation energy: -2058 kJ/mol of formula units


Entry 14:
SmGePd2: PBEsol geometry, meta-GGA SCAN.

abc: 5.596 7.000 7.445
angles: 90.00 90.00 90.00
Fractional coordinates of all 16 atoms:
Sm1 0.645 0.250 0.031
Sm2 0.855 0.250 0.531
Sm3 0.355 0.750 0.969
Sm4 0.145 0.750 0.469
Ge1 0.353 0.250 0.380
Ge2 0.147 0.250 0.880
Ge3 0.647 0.750 0.620
Ge4 0.853 0.750 0.120
Pd1 0.089 0.448 0.179
Pd2 0.411 0.052 0.679
Pd3 0.911 0.948 0.821
Pd4 0.589 0.552 0.321
Pd5 0.911 0.552 0.821
Pd6 0.589 0.948 0.321
Pd7 0.089 0.052 0.179
Pd8 0.411 0.448 0.679

Calculated values
Size of the total moment: 0.00 Bohr magnetons per cell
Formation energy: -386 kJ/mol of formula units


Entry 15:
SnGe3Pd: PBEsol geometry, meta-GGA SCAN.

abc: 4.824 4.824 4.824
angles: 90.00 90.00 90.00
Fractional coordinates of all 5 atoms:
Ge1 0.000 0.500 0.000
Ge2 0.000 0.000 0.500
Ge3 0.500 0.000 0.000
Sn1 0.500 0.500 0.500
Pd1 0.000 0.000 0.000

Calculated values
Size of the total moment: 0.00 Bohr magnetons per cell
Formation energy: 155 kJ/mol of formula units


Entry 16:
SrGe3Pd: PBEsol geometry, meta-GGA SCAN.

abc: 5.322 5.322 5.322
angles: 90.00 90.00 90.00
Fractional coordinates of all 5 atoms:
Sr1 0.000 0.000 0.000
Ge1 0.000 0.500 0.000
Ge2 0.000 0.000 0.500
Ge3 0.500 0.000 0.000
Pd1 0.500 0.500 0.500

Calculated values
Size of the total moment: 0.00 Bohr magnetons per cell
Formation energy: 802 kJ/mol of formula units


Entry 17:
SrGe3Pd: PBEsol geometry, meta-GGA SCAN.

abc: 4.457 4.457 5.976
angles: 111.89 111.89 90.00
Fractional coordinates of all 5 atoms:
Sr1 0.001 0.001 0.002
Ge1 0.600 0.600 0.201
Ge2 0.246 0.746 0.493
Ge3 0.746 0.246 0.493
Pd1 0.357 0.357 0.715

Calculated values
Size of the total moment: 0.00 Bohr magnetons per cell
Formation energy: -309 kJ/mol of formula units


Entry 18:
TbGe2Pd: PBEsol geometry, meta-GGA SCAN.

abc: 4.277 8.680 9.442
angles: 117.36 103.09 90.00
Fractional coordinates of all 16 atoms:
Tb1 0.500 0.739 0.000
Tb2 0.500 0.261 0.000
Tb3 0.702 0.702 0.404
Tb4 0.298 0.298 0.596
Ge1 0.698 0.348 0.396
Ge2 0.302 0.652 0.604
Ge3 0.302 0.952 0.604
Ge4 0.698 0.048 0.396
Ge5 0.074 0.574 0.149
Ge6 0.925 0.925 0.849
Ge7 0.075 0.075 0.151
Ge8 0.926 0.426 0.851
Pd1 0.852 0.602 0.704
Pd2 0.148 0.898 0.296
Pd3 0.148 0.398 0.296
Pd4 0.852 0.102 0.704

Calculated values
Size of the total moment: 0.00 Bohr magnetons per cell
Formation energy: -342 kJ/mol of formula units


Entry 19:
GeTe2Pd8: PBEsol geometry, meta-GGA SCAN.

abc: 7.533 7.533 14.903
angles: 75.36 75.36 60.00
Fractional coordinates of all 44 atoms:
Ge1 0.710 0.710 0.871
Ge2 0.210 0.210 0.371
Ge3 0.051 0.051 0.846
Ge4 0.551 0.551 0.346
Te1 0.394 0.394 0.819
Te2 0.894 0.894 0.319
Te3 0.484 0.117 0.596
Te4 0.803 0.484 0.596
Te5 0.117 0.803 0.596
Te6 0.617 0.984 0.096
Te7 0.303 0.617 0.096
Te8 0.984 0.303 0.096
Pd1 0.408 0.923 0.497
Pd2 0.172 0.408 0.497
Pd3 0.923 0.172 0.497
Pd4 0.423 0.908 0.997
Pd5 0.672 0.423 0.997
Pd6 0.908 0.672 0.997
Pd7 0.432 0.699 0.688
Pd8 0.180 0.432 0.688
Pd9 0.699 0.180 0.688
Pd10 0.199 0.932 0.188
Pd11 0.680 0.199 0.188
Pd12 0.932 0.680 0.188
Pd13 0.492 0.492 0.524
Pd14 0.992 0.992 0.024
Pd15 0.768 0.768 0.697
Pd16 0.268 0.268 0.197
Pd17 0.110 0.110 0.670
Pd18 0.610 0.610 0.170
Pd19 0.833 0.833 0.501
Pd20 0.333 0.333 0.001
Pd21 0.405 0.032 0.797
Pd22 0.766 0.405 0.797
Pd23 0.032 0.766 0.797
Pd24 0.532 0.905 0.297
Pd25 0.266 0.532 0.297
Pd26 0.905 0.266 0.297
Pd27 0.337 0.703 0.895
Pd28 0.065 0.337 0.895
Pd29 0.703 0.065 0.895
Pd30 0.203 0.837 0.395
Pd31 0.565 0.203 0.395
Pd32 0.837 0.565 0.395

Calculated values
Size of the total moment: 0.00 Bohr magnetons per cell
Formation energy (no corrections): -407 meV/atom


Entry 20:
Ti2GePd2: PBEsol geometry, meta-GGA SCAN.

abc: 3.644 3.644 6.804
angles: 105.53 105.53 90.00
Site moments in Bohr magnetons follow the coordinates.
Fractional coordinates of all 5 atoms:
Ge1 0.000 0.000 0.000  -0.05
Pd1 0.250 0.750 0.500  0.01
Pd2 0.750 0.250 0.500  0.01
Ti1 0.400 0.400 0.800  0.81
Ti2 0.600 0.600 0.200  0.81

Calculated values
Size of the total moment: 1.82 Bohr magnetons per cell
Formation energy: -103 kJ/mol of formula units


Entry 21:
TmGePd: PBEsol geometry, meta-GGA SCAN.

abc: 4.267 5.543 5.530
angles: 76.12 67.30 67.36
Fractional coordinates of all 6 atoms:
Ge1 0.159 0.899 0.783
Ge2 0.841 0.101 0.217
Tm1 0.451 0.309 0.788
Tm2 0.549 0.691 0.212
Pd1 0.824 0.726 0.626
Pd2 0.176 0.274 0.374

Calculated values
Size of the total moment: 0.00 Bohr magnetons per cell
Formation energy: -300 kJ/mol of formula units


Entry 22:
TmGePd: PBEsol geometry, meta-GGA SCAN.

abc: 4.309 7.490 11.068
angles: 109.78 101.22 90.00
Fractional coordinates of all 18 atoms:
Tm1 0.000 0.466 0.000
Tm2 0.667 0.130 0.334
Tm3 0.333 0.796 0.666
Tm4 0.500 0.050 0.000
Tm5 0.833 0.377 0.666
Tm6 0.167 0.711 0.334
Ge1 0.594 0.439 0.188
Ge2 0.406 0.252 0.812
Ge3 0.764 0.924 0.527
Ge4 0.236 0.397 0.473
Ge5 0.935 0.782 0.869
Ge6 0.065 0.913 0.131
Pd1 0.572 0.749 0.144
Pd2 0.428 0.606 0.856
Pd3 0.731 0.564 0.463
Pd4 0.269 0.101 0.537
Pd5 0.895 0.068 0.790
Pd6 0.105 0.278 0.210

Calculated values
Size of the total moment: 0.00 Bohr magnetons per cell
Formation energy: -324 kJ/mol of formula units


Number 1: DOS(E_F) 2.18 states/eV per cell, volume 59.6 Å³ per cell, mass density 13.1 g/cm3. Number 2: DOS(E_F) 4.11 states/eV per cell, volume 141.9 Å³ per cell, mass density 10.7 g/cm3. Number 3: DOS(E_F) 5.18 states/eV per cell, volume 102.8 Å³ per cell, mass density 8.0 g/cm3. Number 4: DOS(E_F) 4.02 states/eV per cell, volume 89.9 Å³ per cell, mass density 10.4 g/cm3. Number 5: DOS(E_F) 4.44 states/eV per cell, volume 98.6 Å³ per cell, mass density 4.6 g/cm3. Number 6: DOS(E_F) 0.00 states/eV per cell, volume 215.1 Å³ per cell, mass density 4.3 g/cm3. Number 7: DOS(E_F) 2.52 states/eV per cell, volume 100.4 Å³ per cell, mass density 6.0 g/cm3. Number 8: DOS(E_F) 5.04 states/eV per cell, volume 173.9 Å³ per cell, mass density 6.5 g/cm3. Number 9: DOS(E_F) 2.17 states/eV per cell, volume 103.1 Å³ per cell, mass density 7.0 g/cm3. Number 10: DOS(E_F) 3.51 states/eV per cell, volume 94.8 Å³ per cell, mass density 7.7 g/cm3. Number 11: DOS(E_F) 4.40 states/eV per cell, volume 150.1 Å³ per cell, mass density 7.4 g/cm3. Number 12: DOS(E_F) 2.77 states/eV per cell, volume 129.2 Å³ per cell, mass density 5.8 g/cm3. Number 13: DOS(E_F) 10.28 states/eV per cell, volume 471.0 Å³ per cell, mass density 10.6 g/cm3. Number 14: DOS(E_F) 5.52 states/eV per cell, volume 291.6 Å³ per cell, mass density 9.9 g/cm3. Number 15: DOS(E_F) 2.76 states/eV per cell, volume 112.3 Å³ per cell, mass density 6.6 g/cm3. Number 16: DOS(E_F) 3.14 states/eV per cell, volume 150.7 Å³ per cell, mass density 4.5 g/cm3. Number 17: DOS(E_F) 1.65 states/eV per cell, volume 100.9 Å³ per cell, mass density 6.8 g/cm3. Number 18: DOS(E_F) 4.79 states/eV per cell, volume 301.0 Å³ per cell, mass density 9.1 g/cm3. Number 19: DOS(E_F) 15.65 states/eV per cell, volume 700.5 Å³ per cell, mass density 11.2 g/cm3. Number 20: DOS(E_F) 3.45 states/eV per cell, volume 83.6 Å³ per cell, mass density 7.6 g/cm3. Number 21: DOS(E_F) 2.14 states/eV per cell, volume 110.7 Å³ per cell, mass density 10.4 g/cm3. Number 22: DOS(E_F) 5.42 states/eV per cell, volume 328.8 Å³ per cell, mass density 10.5 g/cm3.